(1)
# CsCuI2

Crystalline CsCuI2 at its relaxed geometry (PBE, Alexandria via LeMat-Bulk). Values from VASP.

Results
The space group is R-3m (166). The value obtained for the relative energy among the computed polymorphs is 39.0 meV/atom. The density of states at the Fermi level is 0.000 states/eV/atom.

Geometry as Quantum ESPRESSO input:
```
&SYSTEM
  ibrav = 0, nat = 4, ntyp = 3
/
ATOMIC_SPECIES
Cs 132.91 Cs.upf
I 126.90 I.upf
Cu 63.55 Cu.upf
CELL_PARAMETERS angstrom
-6.2409 0.5450 0.0469
-3.2873 -1.1888 -5.1989
-3.8250 -7.8306 0.4345
ATOMIC_POSITIONS angstrom
Cs -6.6766 -4.2372 -2.3588
I -3.6280 -5.5188 -0.2187
I -9.7252 -2.9557 -4.4989
Cu 0.0000 0.0000 0.0000
```

=====

(2)
# CsCu2I8

Crystalline CsCu2I8 at its relaxed geometry (PBE, Alexandria via LeMat-Bulk). Values from VASP.

Results
The space group is C2/m (12). The density of states at the Fermi level is 0.580 states/eV/atom.

Geometry as Quantum ESPRESSO input:
```
&SYSTEM
  ibrav = 0, nat = 11, ntyp = 3
/
ATOMIC_SPECIES
Cs 132.91 Cs.upf
Cu 63.55 Cu.upf
I 126.90 I.upf
CELL_PARAMETERS angstrom
-0.2007 4.5389 4.2728
-7.9480 -1.2982 -0.5303
-3.4140 -6.7252 6.2157
ATOMIC_POSITIONS angstrom
Cs -0.1003 2.2694 2.1364
Cu -3.6956 -3.6702 2.9572
Cu -7.6665 -4.3532 2.7282
I -1.9479 2.1306 5.8000
I -5.6948 -0.9824 8.1628
I -3.3595 0.7334 0.9779
I -7.8098 -1.6169 4.3666
I -3.7529 -1.8677 5.5916
I -4.7892 2.5073 2.7645
I -5.8679 -2.5021 1.7954
I -9.6148 -5.6151 4.1582
```

=====

(3)
# Cs2CuI3

Crystalline Cs2CuI3 at its relaxed geometry (PBE, Alexandria via LeMat-Bulk). Values from VASP.

Results
The space group is Cmce (64). The value obtained for the relative energy among the computed polymorphs is 9.4 meV/atom. The density of states at the Fermi level is 0.000 states/eV/atom.

Geometry as Quantum ESPRESSO input:
```
&SYSTEM
  ibrav = 0, nat = 24, ntyp = 3
/
ATOMIC_SPECIES
Cs 132.91 Cs.upf
Cu 63.55 Cu.upf
I 126.90 I.upf
CELL_PARAMETERS angstrom
-6.2238 -3.9933 3.2262
6.3113 2.7334 5.4710
-8.8829 15.7613 2.3725
ATOMIC_POSITIONS angstrom
Cs -8.5510 8.4903 4.1007
Cs -2.7920 -0.6397 3.9098
Cs -7.0510 13.3471 2.9181
Cs -5.9541 7.5356 7.9287
Cs -1.7443 1.1544 8.1515
Cs -0.2444 6.0111 6.9690
Cs -2.8412 6.9659 3.1410
Cs -6.0034 15.1412 7.1599
Cu -8.9660 11.5890 7.1354
Cu -4.5161 3.7103 5.9680
Cu -4.2793 10.7912 5.1017
Cu 0.1707 2.9125 3.9343
I -6.3203 11.2597 6.7881
I -5.5870 1.2451 5.8947
I -10.2778 11.8064 4.8740
I -9.3226 13.5464 8.8705
I 0.5272 0.9551 2.1992
I -3.7227 4.4125 8.3678
I -6.1944 5.3633 4.7764
I -2.6010 9.1382 6.2933
I -5.0727 10.0890 2.7019
I 1.4824 2.6951 6.1957
I -3.2084 13.2564 5.1750
I -2.4751 3.2417 4.2816
```

=====

(4)
# Cs2CuI4

Crystalline Cs2CuI4 at its relaxed geometry (PBE, Alexandria via LeMat-Bulk). Values from VASP.

Results
The space group is I4/mmm (139). The value obtained for the relative energy among the computed polymorphs is 59.8 meV/atom. The density of states at the Fermi level is 0.723 states/eV/atom.

Geometry as Quantum ESPRESSO input:
```
&SYSTEM
  ibrav = 0, nat = 7, ntyp = 3
/
ATOMIC_SPECIES
Cs 132.91 Cs.upf
I 126.90 I.upf
Cu 63.55 Cu.upf
CELL_PARAMETERS angstrom
-5.1951 -1.1062 -2.3092
-2.2750 -0.4027 5.3111
-5.6309 8.3961 1.3826
ATOMIC_POSITIONS angstrom
Cs -4.2662 1.8093 1.4678
Cs -8.8347 5.0778 2.9167
I -5.0723 5.7001 1.4175
I -8.0286 1.1871 2.9670
I -1.1375 -0.2013 2.6555
I -2.5975 -0.5531 -1.1546
Cu 0.0000 0.0000 0.0000
```

=====

no.,uncorrected energy (eV/atom)
1,-2.808
2,-2.127
3,-2.813
4,-2.597